Model one:
# PBE Na2HgHPb, optimized geometry
data_Na2HgHPb
_chemical_formula_sum 'Na2 Hg1 H1 Pb1'
_symmetry_space_group_name_H-M 'P 4/m m m'
_symmetry_Int_Tables_number 123
_symmetry_space_group_name_Hall '-P 4 2'
_cell_length_a 4.5177
_cell_length_b 4.5177
_cell_length_c 5.4902
_cell_angle_alpha 90.00
_cell_angle_beta 90.00
_cell_angle_gamma 90.00
loop_
_atom_site_label
_atom_site_fract_x
_atom_site_fract_y
_atom_site_fract_z
_atom_site_occupancy
Na1 0.0000 0.5000 0.0000 1
Hg1 0.0000 0.0000 0.5000 1
H1 0.0000 0.0000 0.0000 1
Pb1 0.5000 0.5000 0.5000 1
# ρ	6.739	g cm⁻³
# total moment	0.00	μB per cell

---

Model two:
# PBE Na2HgHPb, optimized geometry
data_Na2HgHPb
_chemical_formula_sum 'Na2 Hg1 H1 Pb1'
_symmetry_space_group_name_H-M 'P 4/m m m'
_symmetry_Int_Tables_number 123
_symmetry_space_group_name_Hall '-P 4 2'
_cell_length_a 4.8058
_cell_length_b 4.8058
_cell_length_c 4.7573
_cell_angle_alpha 90.00
_cell_angle_beta 90.00
_cell_angle_gamma 90.00
loop_
_atom_site_label
_atom_site_fract_x
_atom_site_fract_y
_atom_site_fract_z
_atom_site_occupancy
Na1 0.0000 0.5000 0.0000 1
Hg1 0.0000 0.0000 0.5000 1
H1 0.5000 0.5000 0.0000 1
Pb1 0.5000 0.5000 0.5000 1
# ρ	6.873	g cm⁻³
# total moment	0.00	μB per cell

---

Here is how they stack up, most stable first: model two, model one.

---

Model one:
# PBE NaHgHPd2, optimized geometry
data_NaHgHPd2
_chemical_formula_sum 'Na1 Hg1 H1 Pd2'
_symmetry_space_group_name_H-M 'P 4/m m m'
_symmetry_Int_Tables_number 123
_symmetry_space_group_name_Hall '-P 4 2'
_cell_length_a 4.0852
_cell_length_b 4.0852
_cell_length_c 4.3740
_cell_angle_alpha 90.00
_cell_angle_beta 90.00
_cell_angle_gamma 90.00
loop_
_atom_site_label
_atom_site_fract_x
_atom_site_fract_y
_atom_site_fract_z
_atom_site_occupancy
Na1 0.0000 0.0000 0.0000 1
Hg1 0.5000 0.5000 0.0000 1
H1 0.0000 0.0000 0.5000 1
Pd1 0.0000 0.5000 0.5000 1
# ρ	9.950	g cm⁻³
# total moment	0.00	μB per cell

---

Model two:
# PBE NaHgHPd2, optimized geometry
data_NaHgHPd2
_chemical_formula_sum 'Na1 Hg1 H1 Pd2'
_symmetry_space_group_name_H-M 'P 4/m m m'
_symmetry_Int_Tables_number 123
_symmetry_space_group_name_Hall '-P 4 2'
_cell_length_a 4.1168
_cell_length_b 4.1168
_cell_length_c 4.3802
_cell_angle_alpha 90.00
_cell_angle_beta 90.00
_cell_angle_gamma 90.00
loop_
_atom_site_label
_atom_site_fract_x
_atom_site_fract_y
_atom_site_fract_z
_atom_site_occupancy
Na1 0.0000 0.0000 0.0000 1
Hg1 0.5000 0.5000 0.0000 1
H1 0.5000 0.5000 0.5000 1
Pd1 0.0000 0.5000 0.5000 1
# ρ	9.784	g cm⁻³
# total moment	0.00	μB per cell

---

Here is how they stack up, most stable first: model one, model two.

---

Model one:
# PBE Rb2NaHgH, optimized geometry
data_Rb2NaHgH
_chemical_formula_sum 'Rb2 Na1 Hg1 H1'
_symmetry_space_group_name_H-M 'P 4/m m m'
_symmetry_Int_Tables_number 123
_symmetry_space_group_name_Hall '-P 4 2'
_cell_length_a 5.6009
_cell_length_b 5.6009
_cell_length_c 6.0821
_cell_angle_alpha 90.00
_cell_angle_beta 90.00
_cell_angle_gamma 90.00
loop_
_atom_site_label
_atom_site_fract_x
_atom_site_fract_y
_atom_site_fract_z
_atom_site_occupancy
Rb1 0.0000 0.5000 0.0000 1
Na1 0.0000 0.0000 0.5000 1
Hg1 0.5000 0.5000 0.5000 1
H1 0.5000 0.5000 0.0000 1
# ρ	3.442	g cm⁻³
# total moment	0.00	μB per cell

---

Model two:
# PBE Rb2NaHgH, optimized geometry
data_Rb2NaHgH
_chemical_formula_sum 'Rb2 Na1 Hg1 H1'
_symmetry_space_group_name_H-M 'P 4/m m m'
_symmetry_Int_Tables_number 123
_symmetry_space_group_name_Hall '-P 4 2'
_cell_length_a 5.9047
_cell_length_b 5.9047
_cell_length_c 5.0089
_cell_angle_alpha 90.00
_cell_angle_beta 90.00
_cell_angle_gamma 90.00
loop_
_atom_site_label
_atom_site_fract_x
_atom_site_fract_y
_atom_site_fract_z
_atom_site_occupancy
Rb1 0.0000 0.5000 0.0000 1
Na1 0.0000 0.0000 0.5000 1
Hg1 0.5000 0.5000 0.5000 1
H1 0.0000 0.0000 0.0000 1
# ρ	3.761	g cm⁻³
# total moment	0.00	μB per cell

---

Here is how they stack up, most stable first: model two, model one.

---

Model one:
# PBE NaSr2HgH, optimized geometry
data_NaSr2HgH
_chemical_formula_sum 'Na1 Sr2 Hg1 H1'
_symmetry_space_group_name_H-M 'P 4/m m m'
_symmetry_Int_Tables_number 123
_symmetry_space_group_name_Hall '-P 4 2'
_cell_length_a 5.4510
_cell_length_b 5.4510
_cell_length_c 4.5777
_cell_angle_alpha 90.00
_cell_angle_beta 90.00
_cell_angle_gamma 90.00
loop_
_atom_site_label
_atom_site_fract_x
_atom_site_fract_y
_atom_site_fract_z
_atom_site_occupancy
Na1 0.0000 0.0000 0.0000 1
Sr1 0.0000 0.5000 0.5000 1
Hg1 0.5000 0.5000 0.0000 1
H1 0.0000 0.0000 0.5000 1
# ρ	4.881	g cm⁻³
# total moment	0.00	μB per cell

---

Model two:
# PBE NaSr2HgH, optimized geometry
data_NaSr2HgH
_chemical_formula_sum 'Na1 Sr2 Hg1 H1'
_symmetry_space_group_name_H-M 'P 4/m m m'
_symmetry_Int_Tables_number 123
_symmetry_space_group_name_Hall '-P 4 2'
_cell_length_a 5.3399
_cell_length_b 5.3399
_cell_length_c 5.1259
_cell_angle_alpha 90.00
_cell_angle_beta 90.00
_cell_angle_gamma 90.00
loop_
_atom_site_label
_atom_site_fract_x
_atom_site_fract_y
_atom_site_fract_z
_atom_site_occupancy
Na1 0.0000 0.0000 0.0000 1
Sr1 0.0000 0.5000 0.5000 1
Hg1 0.5000 0.5000 0.0000 1
H1 0.5000 0.5000 0.5000 1
# ρ	4.542	g cm⁻³
# total moment	0.00	μB per cell

---

Here is how they stack up, most stable first: model one, model two.

---

Model one:
# PBE NaTlHg2H, optimized geometry
data_NaTlHg2H
_chemical_formula_sum 'Na1 Tl1 Hg2 H1'
_symmetry_space_group_name_H-M 'P 4/m m m'
_symmetry_Int_Tables_number 123
_symmetry_space_group_name_Hall '-P 4 2'
_cell_length_a 5.0729
_cell_length_b 5.0729
_cell_length_c 4.6715
_cell_angle_alpha 90.00
_cell_angle_beta 90.00
_cell_angle_gamma 90.00
loop_
_atom_site_label
_atom_site_fract_x
_atom_site_fract_y
_atom_site_fract_z
_atom_site_occupancy
Na1 0.0000 0.0000 0.0000 1
Tl1 0.5000 0.5000 0.0000 1
Hg1 0.0000 0.5000 0.5000 1
H1 0.5000 0.5000 0.5000 1
# ρ	8.696	g cm⁻³
# total moment	0.00	μB per cell

---

Model two:
# PBE NaTlHg2H, optimized geometry
data_NaTlHg2H
_chemical_formula_sum 'Na1 Tl1 Hg2 H1'
_symmetry_space_group_name_H-M 'P 4/m m m'
_symmetry_Int_Tables_number 123
_symmetry_space_group_name_Hall '-P 4 2'
_cell_length_a 5.2635
_cell_length_b 5.2635
_cell_length_c 4.1081
_cell_angle_alpha 90.00
_cell_angle_beta 90.00
_cell_angle_gamma 90.00
loop_
_atom_site_label
_atom_site_fract_x
_atom_site_fract_y
_atom_site_fract_z
_atom_site_occupancy
Na1 0.0000 0.0000 0.0000 1
Tl1 0.5000 0.5000 0.0000 1
Hg1 0.0000 0.5000 0.5000 1
H1 0.0000 0.0000 0.5000 1
# ρ	9.185	g cm⁻³
# total moment	0.00	μB per cell

---

Here is how they stack up, most stable first: model two, model one.

---

Model one:
# PBE NaTl2HgH, optimized geometry
data_NaTl2HgH
_chemical_formula_sum 'Na1 Tl2 Hg1 H1'
_symmetry_space_group_name_H-M 'P 4/m m m'
_symmetry_Int_Tables_number 123
_symmetry_space_group_name_Hall '-P 4 2'
_cell_length_a 5.7312
_cell_length_b 5.7312
_cell_length_c 5.7537
_cell_angle_alpha 90.00
_cell_angle_beta 90.00
_cell_angle_gamma 90.00
loop_
_atom_site_label
_atom_site_fract_x
_atom_site_fract_y
_atom_site_fract_z
_atom_site_occupancy
Na1 0.0000 0.0000 0.0000 1
Tl1 0.0000 0.5000 0.5000 1
Hg1 0.0000 0.0000 0.5000 1
H1 0.5000 0.5000 0.0000 1
# ρ	5.565	g cm⁻³
# total moment	0.30	μB per cell

---

Model two:
# PBE NaTl2HgH, optimized geometry
data_NaTl2HgH
_chemical_formula_sum 'Na1 Tl2 Hg1 H1'
_symmetry_space_group_name_H-M 'P 4/m m m'
_symmetry_Int_Tables_number 123
_symmetry_space_group_name_Hall '-P 4 2'
_cell_length_a 5.1339
_cell_length_b 5.1339
_cell_length_c 4.4249
_cell_angle_alpha 90.00
_cell_angle_beta 90.00
_cell_angle_gamma 90.00
loop_
_atom_site_label
_atom_site_fract_x
_atom_site_fract_y
_atom_site_fract_z
_atom_site_occupancy
Na1 0.0000 0.0000 0.0000 1
Tl1 0.0000 0.5000 0.5000 1
Hg1 0.5000 0.5000 0.0000 1
H1 0.0000 0.0000 0.5000 1
# ρ	9.018	g cm⁻³
# total moment	0.00	μB per cell

---

Here is how they stack up, most stable first: model two, model one.